Entry 1:
Material: KIr2Br
Method: DFT, SCAN
State: PBEsol geometry

Properties
VASP energy, eV per atom: -41.22
Formation energy from raw total energies, eV/atom: 1.281

a b c (Å): 2.951 2.951 8.640
angles (deg): 90.00 90.00 90.00
Space group P4/mmm (No. 123)
Inequivalent atoms, fractional coordinates:
K 0.000 0.000 0.000 [1 per cell]
Ir 0.500 0.500 0.307 [2 per cell]
Br 0.000 0.000 0.500 [1 per cell]

=====

Entry 2:
Material: LaIr2Br
Method: DFT, SCAN
State: PBEsol geometry

Properties
VASP energy, eV per atom: -51.13
Formation energy from raw total energies, eV/atom: 0.066

a b c (Å): 3.899 3.899 5.307
angles (deg): 90.00 90.00 90.00
Space group P4/mmm (No. 123)
Inequivalent atoms, fractional coordinates:
La 0.000 0.000 0.000 [1 per cell]
Ir 0.000 0.500 0.500 [2 per cell]
Br 0.500 0.500 0.000 [1 per cell]

=====

Entry 3:
Material: LaIr2Br
Method: DFT, SCAN
State: PBEsol geometry

Properties
VASP energy, eV per atom: -51.66
Formation energy from raw total energies, eV/atom: -0.466

a b c (Å): 3.515 3.515 7.584
angles (deg): 90.00 90.00 90.00
Space group P4mm (No. 99)
Inequivalent atoms, fractional coordinates:
La 0.000 0.000 0.000 [1 per cell]
Ir 0.000 0.000 0.649 [1 per cell]
Ir 0.500 0.500 0.728 [1 per cell]
Br 0.500 0.500 0.241 [1 per cell]

=====

Entry 4:
Material: La3IrBr
Method: DFT, SCAN
State: PBEsol geometry

Properties
VASP energy, eV per atom: -43.83
Formation energy from raw total energies, eV/atom: 0.143

a b c (Å): 5.400 5.400 5.400
angles (deg): 90.00 90.00 90.00
Space group Pm-3m (No. 221)
Inequivalent atoms, fractional coordinates:
La 0.000 0.000 0.500 [3 per cell]
Ir 0.500 0.500 0.500 [1 per cell]
Br 0.000 0.000 0.000 [1 per cell]

=====

Entry 5:
Material: La2IrBr
Method: DFT, SCAN
State: PBEsol geometry

Properties
VASP energy, eV per atom: -45.65
Formation energy from raw total energies, eV/atom: -1.455

a b c (Å): 4.1339 4.1339 23.1861
angles (deg): 90.00 90.00 120.00
Space group R-3m (No. 166, hexagonal axes)
Inequivalent atoms, fractional coordinates:
La 0.0000 0.0000 0.2330 [6 per cell]
Ir 0.0000 0.0000 0.5000 [3 per cell]
Br 0.0000 0.0000 0.0000 [3 per cell]

=====

Entry 6:
Material: LaIr2Br
Method: DFT, SCAN
State: PBEsol geometry

Properties
VASP energy, eV per atom: -51.11
Formation energy from raw total energies, eV/atom: 0.080

a b c (Å): 4.030 4.030 20.183
angles (deg): 90.00 90.00 90.00
Space group I-42d (No. 122)
Inequivalent atoms, fractional coordinates:
La 0.000 0.000 0.000 [4 per cell]
Ir 0.202 0.250 0.625 [8 per cell]
Br 0.000 0.000 0.500 [4 per cell]

=====

Entry 7:
Material: LaIr2Br
Method: DFT, SCAN
State: PBEsol geometry

Properties
VASP energy, eV per atom: -51.08
Formation energy from raw total energies, eV/atom: 0.115

a b c (Å): 5.736 9.992 3.099
angles (deg): 90.00 122.15 90.00
Space group C2/m (No. 12)
Inequivalent atoms, fractional coordinates:
La 0.000 0.000 0.000 [2 per cell]
Ir 0.250 0.250 0.500 [4 per cell]
Br 0.000 0.500 0.000 [2 per cell]

=====

Entry 8:
Material: LaIr2Br
Method: DFT, SCAN
State: PBEsol geometry

Properties
VASP energy, eV per atom: -51.66
Formation energy from raw total energies, eV/atom: -0.466

a b c (Å): 3.522 3.505 7.765
angles (deg): 90.00 102.10 90.00
Space group Pm (No. 6)
Inequivalent atoms, fractional coordinates:
La 0.000 0.000 0.000 [1 per cell]
Ir 0.375 0.500 0.729 [1 per cell]
Ir 0.838 0.000 0.649 [1 per cell]
Br 0.611 0.500 0.241 [1 per cell]

=====

Entry 9:
Material: La3IrBr3
Method: DFT, SCAN
State: PBEsol geometry

Properties
VASP energy, eV per atom: -38.72
Formation energy from raw total energies, eV/atom: -1.748

a b c (Å): 12.018 12.018 12.018
angles (deg): 90.00 90.00 90.00
Space group I4_132 (No. 214)
Inequivalent atoms, fractional coordinates:
La 0.111 0.361 0.125 [24 per cell]
Ir 0.125 0.125 0.125 [8 per cell]
Br 0.117 0.133 0.625 [24 per cell]

=====

Entry 10:
Material: Li2IrBr
Method: DFT, SCAN
State: PBEsol geometry

Properties
VASP energy, eV per atom: -24.08
Formation energy from raw total energies, eV/atom: -0.240

a b c (Å): 3.062 4.915 8.066
angles (deg): 90.00 90.00 90.00
Space group Cmmm (No. 65)
Inequivalent atoms, fractional coordinates:
Li 0.000 0.000 0.250 [4 per cell]
Ir 0.000 0.500 0.000 [2 per cell]
Br 0.000 0.500 0.500 [2 per cell]

=====

Entry 11:
Material: LiIrBr
Method: DFT, SCAN
State: PBEsol geometry

Properties
VASP energy, eV per atom: -30.50
Formation energy from raw total energies, eV/atom: 0.482

a b c (Å): 2.902 2.902 11.388
angles (deg): 90.00 90.00 90.00
Space group I4mm (No. 107)
Inequivalent atoms, fractional coordinates:
Li 0.000 0.000 0.000 [2 per cell]
Ir 0.000 0.000 0.346 [2 per cell]
Br 0.000 0.000 0.680 [2 per cell]

=====

Entry 12:
Material: Li4IrBr
Method: DFT, SCAN
State: PBEsol geometry

Properties
VASP energy, eV per atom: -16.53
Formation energy from raw total energies, eV/atom: 0.152

a b c (Å): 6.977 6.977 6.977
angles (deg): 90.00 90.00 90.00
Space group F-43m (No. 216)
Inequivalent atoms, fractional coordinates:
Li 0.121 0.121 0.379 [16 per cell]
Ir 0.250 0.250 0.750 [4 per cell]
Br 0.000 0.000 0.000 [4 per cell]

=====

no.,calculated volume (Å³/f.u.)
1,75
2,81
3,94
4,157
5,114
6,82
7,75
8,94
9,217
10,61
11,48
12,85